[1]
This record from Alexandria via LeMat-Bulk describes CaMgAl2 at its PBEsol-relaxed geometry. The functional is meta-GGA SCAN.

Lattice parameters (Å, degrees): 3.476 3.476 7.168 90.00 90.00 90.00
Space group P4/mmm (No. 123)
Inequivalent atoms, fractional coordinates:
Ca: 0.000 0.000 0.000 (multiplicity 1)
Mg: 0.000 0.000 0.500 (multiplicity 1)
Al: 0.500 0.500 0.291 (multiplicity 2)

Formation energy ... -41 kJ/mol of formula units
Final energy ... -7.64 eV per atom

---

[2]
This record from Alexandria via LeMat-Bulk describes CaMgAl2 at its PBEsol-relaxed geometry. The functional is meta-GGA SCAN.

Lattice parameters (Å, degrees): 4.524 4.524 8.425 90.00 90.00 90.00
Space group I-4m2 (No. 119)
Inequivalent atoms, fractional coordinates:
Ca: 0.000 0.000 0.000 (multiplicity 2)
Mg: 0.000 0.500 0.250 (multiplicity 2)
Al: 0.000 0.000 0.500 (multiplicity 2)
Al: 0.000 0.500 0.750 (multiplicity 2)

Formation energy ... -3 kJ/mol of formula units
Final energy ... -7.54 eV per atom

---

The lowest final energy belongs to which entry?
number 1

---

Which of these has the highest formation energy?
number 2

---

The lowest formation energy belongs to which entry?
number 1